No. 1
Below is an optimized crystal structure of Sr2PrTlSe4, with properties calculated at the PBE level.

Calculated values
energy	-4.72	eV per atom
calculated volume	250	Å³/f.u.
E_form (uncorrected)	-1.66	eV per atom
size of the total moment	0.0000	μB per atom

Cell and atoms, written as CIF:
```
data_Sr2PrTlSe4
_chemical_formula_sum 'Sr2 Pr1 Tl1 Se4'
_cell_length_a 7.563
_cell_length_b 4.443
_cell_length_c 7.841
_cell_angle_alpha 90.00
_cell_angle_beta 108.71
_cell_angle_gamma 90.00
_symmetry_space_group_name_H-M 'P 1'
_symmetry_Int_Tables_number 1
loop_
_symmetry_equiv_pos_as_xyz
'x,y,z'
loop_
_atom_site_label
_atom_site_fract_x
_atom_site_fract_y
_atom_site_fract_z
Sr1 0.000 0.000 0.000
Sr2 0.000 0.500 0.500
Pr1 0.500 0.000 0.500
Tl1 0.500 0.500 0.000
Se1 0.247 0.000 0.728
Se2 0.258 0.500 0.267
Se3 0.742 0.500 0.733
Se4 0.753 0.000 0.272
```

---

No. 2
Below is an optimized crystal structure of Ti3Al, with properties calculated at the PBE level.

Calculated values
calculated formation energy	-0.127	eV/atom
energy	-6.98	eV per atom
calculated volume	68	Å³/f.u.
N(E_F)	0.820	states/eV per atom
size of the total moment	0.0000	μB per atom

Cell and atoms, written as CIF:
```
data_Ti3Al
_chemical_formula_sum 'Ti3 Al1'
_cell_length_a 2.924
_cell_length_b 2.924
_cell_length_c 9.221
_cell_angle_alpha 90.00
_cell_angle_beta 90.00
_cell_angle_gamma 120.00
_symmetry_space_group_name_H-M 'P 1'
_symmetry_Int_Tables_number 1
loop_
_symmetry_equiv_pos_as_xyz
'x,y,z'
loop_
_atom_site_label
_atom_site_fract_x
_atom_site_fract_y
_atom_site_fract_z
Ti1 0.000 0.000 0.000
Ti2 0.667 0.333 0.249
Ti3 0.667 0.333 0.751
Al1 0.000 0.000 0.500
```

---

No. 3
Below is an optimized crystal structure of SmY2ThAs4, with properties calculated at the PBE level.

Calculated values
calculated formation energy	-1.529	eV/atom
energy	-6.99	eV per atom
calculated volume	207	Å³/f.u.
N(E_F)	0.199	states/eV per atom
size of the total moment	0.0000	μB per atom

Cell and atoms, written as CIF:
```
data_SmY2ThAs4
_chemical_formula_sum 'Sm1 Y2 Th1 As4'
_cell_length_a 7.225
_cell_length_b 4.189
_cell_length_c 7.243
_cell_angle_alpha 90.00
_cell_angle_beta 109.49
_cell_angle_gamma 90.00
_symmetry_space_group_name_H-M 'P 1'
_symmetry_Int_Tables_number 1
loop_
_symmetry_equiv_pos_as_xyz
'x,y,z'
loop_
_atom_site_label
_atom_site_fract_x
_atom_site_fract_y
_atom_site_fract_z
Sm1 0.000 0.000 0.000
Y1 0.500 0.000 0.500
Y2 0.500 0.500 0.000
Th1 0.000 0.500 0.500
As1 0.255 0.500 0.252
As2 0.256 0.000 0.752
As3 0.744 0.000 0.248
As4 0.745 0.500 0.748
```

---

No. 4
Below is an optimized crystal structure of Cd2InRu, with properties calculated at the PBE level.

Calculated values
distance to the lowest polymorph of the same formula	313	meV per atom
calculated formation energy	0.400	eV/atom
energy	-3.06	eV per atom
calculated volume	83	Å³/f.u.
N(E_F)	0.798	states/eV per atom
size of the total moment	0.0029	μB per atom

Cell and atoms, written as CIF:
```
data_Cd2InRu
_chemical_formula_sum 'Cd8 In4 Ru4'
_cell_length_a 4.016
_cell_length_b 4.016
_cell_length_c 20.665
_cell_angle_alpha 90.00
_cell_angle_beta 90.00
_cell_angle_gamma 90.00
_symmetry_space_group_name_H-M 'P 1'
_symmetry_Int_Tables_number 1
loop_
_symmetry_equiv_pos_as_xyz
'x,y,z'
loop_
_atom_site_label
_atom_site_fract_x
_atom_site_fract_y
_atom_site_fract_z
Cd1 0.234 0.250 0.125
Cd2 0.250 0.734 0.375
Cd3 0.250 0.766 0.875
Cd4 0.266 0.250 0.625
Cd5 0.734 0.750 0.625
Cd6 0.750 0.234 0.875
Cd7 0.750 0.266 0.375
Cd8 0.766 0.750 0.125
In1 0.000 0.000 0.500
In2 0.000 0.500 0.750
In3 0.500 0.000 0.250
In4 0.500 0.500 0.000
Ru1 0.000 0.000 0.000
Ru2 0.000 0.500 0.250
Ru3 0.500 0.000 0.750
Ru4 0.500 0.500 0.500
```